DFT (GGA-PBE) results for a geometry-optimized Co2AgPt structure.

a = 6.8979 Å, b = 6.8979 Å, c = 5.5427 Å
α = 51.52°, β = 51.52°, γ = 90.00°
Last column: nearest neighbours and their distance in Å.
Element x y z (fractional)
Co  0.6458  0.1250  0.2500  2 Pt 2.43, 2 Ag 2.63, 2 Co 2.65
Co  0.1042  0.6250  0.2500  2 Pt 2.43, 2 Ag 2.63, 2 Co 2.65
Co  0.3750  0.3542  0.7500  2 Pt 2.43, 2 Ag 2.63, 2 Co 2.65
Co  0.8750  0.8958  0.7500  2 Pt 2.43, 2 Ag 2.63, 2 Co 2.65
Ag  0.5000  0.5000  0.0000  4 Co 2.63, 2 Pt 2.63
Ag  0.2500  0.7500  0.5000  4 Co 2.63, 2 Pt 2.63
Pt  0.0000  0.0000  0.0000  4 Co 2.43, 2 Ag 2.63
Pt  0.7500  0.2500  0.5000  4 Co 2.43, 2 Ag 2.63

Values from the calculation:
energy relative to the elements	0.6082	eV/atom
raw total energy	-5.168	eV per atom
SG	No. 122